# 1
## Pm2SmDy6Tm3 (GGA-PBE)

Data for a relaxed structure of Pm2SmDy6Tm3.

Its formation enthalpy at 0 K is 0.020 eV/atom.

Unit cell a=6.159 b=10.658 c=11.764 alpha=90.00 beta=100.02 gamma=90.00
Space group C2/m (No. 12)
One atom of each set of equivalent atoms:
Pm: 0.000 0.167 0.000
Sm: 0.000 0.500 0.000
Dy: 0.248 0.167 0.746
Dy: 0.248 0.500 0.746
Tm: 0.000 0.000 0.500
Tm: 0.000 0.333 0.500

# 2
## Pm2Sm3DyTm6 (GGA-PBE)

Data for a relaxed structure of Pm2Sm3DyTm6.

Its formation enthalpy at 0 K is 0.018 eV/atom.

Unit cell a=6.168 b=10.679 c=11.684 alpha=90.00 beta=100.09 gamma=90.00
Space group C2/m (No. 12)
One atom of each set of equivalent atoms:
Pm: 0.000 0.166 0.000
Sm: 0.000 0.000 0.500
Sm: 0.000 0.333 0.500
Dy: 0.000 0.500 0.000
Tm: 0.249 0.500 0.750
Tm: 0.250 0.167 0.750

# 3
## Pm2SmDy3Tm6 (GGA-PBE)

Data for a relaxed structure of Pm2SmDy3Tm6.

Its formation enthalpy at 0 K is 0.021 eV/atom.

Unit cell a=6.140 b=10.629 c=11.667 alpha=90.00 beta=100.09 gamma=90.00
Space group C2/m (No. 12)
One atom of each set of equivalent atoms:
Pm: 0.000 0.167 0.000
Sm: 0.000 0.500 0.000
Dy: 0.000 0.000 0.500
Dy: 0.000 0.333 0.500
Tm: 0.249 0.167 0.747
Tm: 0.249 0.500 0.747

# 4
## PmSm2Dy2Tm (GGA-PBE)

Data for a relaxed structure of PmSm2Dy2Tm.

Its formation enthalpy at 0 K is 0.151 eV/atom.

Unit cell a=6.944 b=16.370 c=3.495 alpha=90.00 beta=90.00 gamma=90.00
Space group Pnnm (No. 58)
One atom of each set of equivalent atoms:
Pm: 0.000 0.000 0.000
Sm: 0.248 0.341 0.000
Dy: 0.249 0.154 0.500
Tm: 0.000 0.500 0.500

| no. | calculated total energy (eV for the cell shown) |
| --- | --- |
| 1 | -110.0 |
| 2 | -109.7 |
| 3 | -109.2 |
| 4 | -53.9 |